<P>
Material: YIrBr2
Method: DFT, PBE
State: relaxed

Results
The calculation puts the calculated volume at 22.11 Å³/atom. The calculation puts the total magnetization at 0.4 μB per formula unit.

a b c (Å): 5.0010 5.0010 5.0010
angles (deg): 60.00 60.00 60.00
Last column: nearest neighbours and their distance in Å.
Sites, in units of the cell vectors:
Y1 0.0000 0.0000 0.0000  4 Ir 3.06, 4 Br 3.06
Ir1 0.7500 0.7500 0.7500  4 Y 3.06, 4 Br 3.06
Br1 0.2500 0.2500 0.2500  4 Br 3.06, 4 Y 3.06
Br2 0.5000 0.5000 0.5000  4 Br 3.06, 4 Ir 3.06


<Q>
Material: YIrBr2
Method: DFT, PBE
State: relaxed

Results
The calculation puts the calculated volume at 26.74 Å³/atom. The calculation puts the total magnetization at 0.0 μB per formula unit.

a b c (Å): 3.8415 3.8415 7.2466
angles (deg): 90.00 90.00 90.00
Last column: nearest neighbours and their distance in Å.
Sites, in units of the cell vectors:
Y1 0.0000 0.0000 0.0000  1 Br 2.78, 4 Ir 2.87
Ir1 0.5000 0.5000 0.8726  1 Br 2.48
Br1 0.0000 0.0000 0.6158  1 Y 2.78
Br2 0.5000 0.5000 0.2142  1 Ir 2.48


The least stable of the structures above is <P>, whereas <Q> is the most stable.